Entry 1:
Crystalline SrCoHg at its relaxed geometry. Source: OQMD, functional PBE.

```
data_SrCoHg
_chemical_formula_sum 'Sr4 Co4 Hg4'
_cell_length_a 6.758
_cell_length_b 6.758
_cell_length_c 6.758
_cell_angle_alpha 90.00
_cell_angle_beta 90.00
_cell_angle_gamma 90.00
_symmetry_space_group_name_H-M 'F -4 3 m'
_symmetry_Int_Tables_number 216
_symmetry_space_group_name_Hall 'F -4 2 3'
loop_
_atom_site_label
_atom_site_type_symbol
_atom_site_fract_x
_atom_site_fract_y
_atom_site_fract_z
_atom_site_occupancy
Sr1 Sr 0.000 0.000 0.000 1
Co1 Co 0.250 0.250 0.750 1
Hg1 Hg 0.000 0.000 0.500 1
```

Values from the calculation:
Final energy ... -2.718 eV/atom

Entry 2:
Crystalline SrCoHgTe3 at its relaxed geometry. Source: OQMD, functional PBE.

```
data_SrCoHgTe3
_chemical_formula_sum 'Sr4 Co4 Hg4 Te12'
_cell_length_a 4.419
_cell_length_b 12.635
_cell_length_c 12.402
_cell_angle_alpha 90.00
_cell_angle_beta 90.00
_cell_angle_gamma 90.00
_symmetry_space_group_name_H-M 'C m c m'
_symmetry_Int_Tables_number 63
_symmetry_space_group_name_Hall '-C 2c 2'
loop_
_atom_site_label
_atom_site_type_symbol
_atom_site_fract_x
_atom_site_fract_y
_atom_site_fract_z
_atom_site_occupancy
Sr1 Sr 0.000 0.223 0.250 1
Co1 Co 0.000 0.075 0.750 1
Hg1 Hg 0.000 0.500 0.000 1
Te1 Te 0.000 0.163 0.571 1
Te2 Te 0.000 0.488 0.750 1
```

Values from the calculation:
Polymorph energy (0 for the lowest one) ... 0 meV per atom

Entry 3:
Crystalline SrCoHgTe3 at its relaxed geometry. Source: OQMD, functional PBE.

```
data_SrCoHgTe3
_chemical_formula_sum 'Sr4 Co4 Hg4 Te12'
_cell_length_a 4.140
_cell_length_b 14.287
_cell_length_c 12.020
_cell_angle_alpha 90.00
_cell_angle_beta 90.00
_cell_angle_gamma 90.00
_symmetry_space_group_name_H-M 'C m c m'
_symmetry_Int_Tables_number 63
_symmetry_space_group_name_Hall '-C 2c 2'
loop_
_atom_site_label
_atom_site_type_symbol
_atom_site_fract_x
_atom_site_fract_y
_atom_site_fract_z
_atom_site_occupancy
Sr1 Sr 0.000 0.208 0.250 1
Co1 Co 0.000 0.000 0.000 1
Hg1 Hg 0.000 0.479 0.750 1
Te1 Te 0.000 0.116 0.750 1
Te2 Te 0.000 0.386 0.538 1
```

Values from the calculation:
Polymorph energy (0 for the lowest one) ... 95 meV per atom

Entry 4:
Crystalline TaCoHg2 at its relaxed geometry. Source: OQMD, functional PBE.

```
data_TaCoHg2
_chemical_formula_sum 'Ta4 Co4 Hg8'
_cell_length_a 6.526
_cell_length_b 6.526
_cell_length_c 6.526
_cell_angle_alpha 90.00
_cell_angle_beta 90.00
_cell_angle_gamma 90.00
_symmetry_space_group_name_H-M 'F -4 3 m'
_symmetry_Int_Tables_number 216
_symmetry_space_group_name_Hall 'F -4 2 3'
loop_
_atom_site_label
_atom_site_type_symbol
_atom_site_fract_x
_atom_site_fract_y
_atom_site_fract_z
_atom_site_occupancy
Ta1 Ta 0.000 0.000 0.000 1
Co1 Co 0.250 0.250 0.250 1
Hg1 Hg 0.000 0.000 0.500 1
Hg2 Hg 0.250 0.250 0.750 1
```

Values from the calculation:
DFT formation energy ... 578 meV per atom

Entry 5:
Crystalline TaZnCoHg at its relaxed geometry. Source: OQMD, functional PBE.

```
data_TaZnCoHg
_chemical_formula_sum 'Ta4 Zn4 Co4 Hg4'
_cell_length_a 6.349
_cell_length_b 6.349
_cell_length_c 6.349
_cell_angle_alpha 90.00
_cell_angle_beta 90.00
_cell_angle_gamma 90.00
_symmetry_space_group_name_H-M 'F -4 3 m'
_symmetry_Int_Tables_number 216
_symmetry_space_group_name_Hall 'F -4 2 3'
loop_
_atom_site_label
_atom_site_type_symbol
_atom_site_fract_x
_atom_site_fract_y
_atom_site_fract_z
_atom_site_occupancy
Ta1 Ta 0.000 0.000 0.000 1
Zn1 Zn 0.000 0.000 0.500 1
Co1 Co 0.250 0.250 0.750 1
Hg1 Hg 0.250 0.250 0.250 1
```

Values from the calculation:
Polymorph energy (0 for the lowest one) ... 0 meV per atom
DFT formation energy ... 342 meV per atom

Entry 6:
Crystalline TaZnCoHg at its relaxed geometry. Source: OQMD, functional PBE.

```
data_TaZnCoHg
_chemical_formula_sum 'Ta4 Zn4 Co4 Hg4'
_cell_length_a 6.306
_cell_length_b 6.306
_cell_length_c 6.306
_cell_angle_alpha 90.00
_cell_angle_beta 90.00
_cell_angle_gamma 90.00
_symmetry_space_group_name_H-M 'F -4 3 m'
_symmetry_Int_Tables_number 216
_symmetry_space_group_name_Hall 'F -4 2 3'
loop_
_atom_site_label
_atom_site_type_symbol
_atom_site_fract_x
_atom_site_fract_y
_atom_site_fract_z
_atom_site_occupancy
Ta1 Ta 0.000 0.000 0.000 1
Zn1 Zn 0.250 0.250 0.250 1
Co1 Co 0.000 0.000 0.500 1
Hg1 Hg 0.250 0.250 0.750 1
```

Values from the calculation:
Polymorph energy (0 for the lowest one) ... 92 meV per atom
DFT formation energy ... 434 meV per atom